Record 1
A geometry-optimized RbGaH2 structure. Source: Alexandria, functional GGA-PBE.

Output
VASP energy ... -9.28 eV per cell
Crystal system ... cubic
Space group ... Fm-3m

Lattice parameters (Å, degrees): 4.7160 4.7160 4.7160 60.00 60.00 60.00
Closest atoms and distances in Å follow each position.
Fractional coordinates of all 4 atoms:
Rb (0.5000, 0.5000, 0.5000)  8 H 2.89
Ga (0.0000, 0.0000, 0.0000)  8 H 2.89
H (0.2500, 0.2500, 0.2500)  4 Rb 2.89, 4 Ga 2.89
H (0.7500, 0.7500, 0.7500)  4 Ga 2.89, 4 Rb 2.89

Record 2
A geometry-optimized RbGa2H2 structure. Source: Alexandria, functional GGA-PBE.

Output
VASP energy ... -12.57 eV per cell
Crystal system ... tetragonal
Space group ... I4/mmm

Lattice parameters (Å, degrees): 3.7054 3.7054 7.3642 75.43 75.43 90.00
Closest atoms and distances in Å follow each position.
Fractional coordinates of all 5 atoms:
H (0.3827, 0.3827, 0.2347)  4 Ga 2.60
H (0.6173, 0.6173, 0.7653)  4 Ga 2.60
Ga (0.7500, 0.2500, 0.5000)  4 H 2.60, 4 Ga 2.62
Ga (0.2500, 0.7500, 0.5000)  4 H 2.60, 4 Ga 2.62
Rb (0.0000, 0.0000, 0.0000)  8 H 3.08

Record 3
A geometry-optimized RbGaH2 structure. Source: Alexandria, functional GGA-PBE.

Output
VASP energy ... -44.25 eV per cell
Crystal system ... monoclinic
Space group ... P2_1/c

Lattice parameters (Å, degrees): 4.8190 7.6086 9.7141 90.00 85.41 90.00
Closest atoms and distances in Å follow each position.
Fractional coordinates of all 16 atoms:
H (0.7092, 0.2556, 0.6038)  1 Ga 1.64
H (0.2908, 0.7444, 0.3962)  1 Ga 1.64
H (0.2908, 0.7556, 0.8962)  1 Ga 1.64
H (0.3641, 0.2913, 0.4222)  1 Ga 1.65
H (0.6359, 0.7913, 0.0778)  1 Ga 1.65
H (0.3641, 0.2087, 0.9222)  1 Ga 1.65
H (0.7092, 0.2444, 0.1038)  1 Ga 1.64
H (0.6359, 0.7087, 0.5778)  1 Ga 1.65
Ga (0.4173, 0.6450, 0.0218)  2 H 1.64-1.65
Ga (0.5827, 0.1450, 0.4782)  2 H 1.64-1.65
Ga (0.5827, 0.3550, 0.9782)  2 H 1.64-1.65
Ga (0.4173, 0.8550, 0.5218)  2 H 1.64-1.65
Rb (0.8186, 0.9598, 0.7987)  6 H 2.97-3.07
Rb (0.1814, 0.0402, 0.2013)  6 H 2.97-3.07
Rb (0.1814, 0.4598, 0.7013)  6 H 2.97-3.07
Rb (0.8186, 0.5402, 0.2987)  6 H 2.97-3.07

Record 4
A geometry-optimized RbGa2H structure. Source: Alexandria, functional GGA-PBE.

Output
VASP energy ... -18.46 eV per cell
Crystal system ... tetragonal
Space group ... I4_1/amd

Lattice parameters (Å, degrees): 6.4447 6.4447 6.4336 59.94 59.94 90.00
Closest atoms and distances in Å follow each position.
Fractional coordinates of all 8 atoms:
Ga (0.8750, 0.6247, 0.7500)  2 H 1.97
Ga (0.3753, 0.6250, 0.2500)  2 H 1.97
Ga (0.3747, 0.1250, 0.2500)  2 H 1.97
Ga (0.3750, 0.6253, 0.7500)  2 H 1.97
H (0.2500, 0.7500, 0.5000)  4 Ga 1.97
H (0.5000, 0.5000, 0.0000)  4 Ga 1.97
Rb (0.0000, 0.0000, 0.0000)  12 Ga 3.77-3.78, 4 H 3.94, 4 Rb 3.94
Rb (0.7500, 0.2500, 0.5000)  12 Ga 3.77-3.78, 4 H 3.94, 4 Rb 3.94

Record 5
A geometry-optimized RbGa2H structure. Source: Alexandria, functional GGA-PBE.

Output
VASP energy ... -19.75 eV per cell
Crystal system ... tetragonal
Space group ... I4/mmm

Lattice parameters (Å, degrees): 3.8695 3.8695 11.4555 90.00 90.00 90.00
Closest atoms and distances in Å follow each position.
Fractional coordinates of all 8 atoms:
Rb (0.2498, 0.7502, 0.2500)  4 H 2.74
Rb (0.7502, 0.2498, 0.7500)  4 H 2.74
Ga (0.7499, 0.2501, 0.0492)  1 H 2.30
Ga (0.2501, 0.7499, 0.5492)  1 H 2.30
Ga (0.7499, 0.2501, 0.4508)  1 H 2.30
Ga (0.2501, 0.7499, 0.9508)  1 H 2.30
H (0.2501, 0.7499, 0.7500)  2 Ga 2.30
H (0.7499, 0.2501, 0.2500)  2 Ga 2.30

Record 6
A geometry-optimized RbGaH3 structure. Source: Alexandria, functional GGA-PBE.

Output
VASP energy ... -14.00 eV per cell
Crystal system ... cubic
Space group ... Pm-3m

Lattice parameters (Å, degrees): 4.0491 4.0491 4.0491 90.00 90.00 90.00
Closest atoms and distances in Å follow each position.
Fractional coordinates of all 5 atoms:
H (0.0000, 0.5000, 0.0000)  2 Ga 2.02
H (0.5000, 0.0000, 0.0000)  2 Ga 2.02
H (0.0000, 0.0000, 0.5000)  2 Ga 2.02
Rb (0.5000, 0.5000, 0.5000)  12 H 2.86
Ga (0.0000, 0.0000, 0.0000)  6 H 2.02

Record 7
A geometry-optimized RbGaH3 structure. Source: Alexandria, functional GGA-PBE.

Output
VASP energy ... -30.08 eV per cell
Crystal system ... orthorhombic
Space group ... Imm2

Lattice parameters (Å, degrees): 4.9841 7.3169 7.0065 121.47 110.82 90.01
Closest atoms and distances in Å follow each position.
Fractional coordinates of all 10 atoms:
Rb (0.7094, 0.6496, 0.1086)  6 H 2.79-2.93
Rb (0.3377, 0.2773, 0.3644)  6 H 2.79-2.93
H (0.9447, 0.1138, 0.4967)  1 Ga 1.63
H (0.6290, 0.2105, 0.7367)  1 Ga 1.62
H (0.6293, 0.7161, 0.7364)  1 Ga 1.62
H (0.1848, 0.8133, 0.9764)  1 Ga 1.63
H (0.1846, 0.3539, 0.9768)  1 Ga 1.63
H (0.9451, 0.5735, 0.4964)  1 Ga 1.63
Ga (0.9344, 0.7938, 0.7365)  3 H 1.62-1.63
Ga (0.9342, 0.1333, 0.7368)  3 H 1.62-1.63

Record 8
A geometry-optimized Rb2GaH3 structure. Source: Alexandria, functional GGA-PBE.

Output
VASP energy ... -29.80 eV per cell
Crystal system ... orthorhombic
Space group ... Fmmm

Lattice parameters (Å, degrees): 6.4013 6.4013 9.6164 106.82 106.82 97.52
Closest atoms and distances in Å follow each position.
Fractional coordinates of all 12 atoms:
Rb (0.7783, 0.2217, 0.0000)  4 H 3.42, 2 Ga 3.59
Rb (0.2217, 0.7783, 0.0000)  4 H 3.42, 2 Ga 3.59
Rb (0.2500, 0.7500, 0.5000)  4 H 3.22
Rb (0.7500, 0.2500, 0.5000)  4 H 3.22
Ga (0.6384, 0.6384, 0.2768)  3 H 1.58-1.59
Ga (0.3616, 0.3616, 0.7232)  3 H 1.58-1.59
H (0.4299, 0.4299, 0.1878)  1 Ga 1.58
H (0.2698, 0.2698, 0.5396)  1 Ga 1.59
H (0.7302, 0.7302, 0.4604)  1 Ga 1.59
H (0.5701, 0.5701, 0.8122)  1 Ga 1.58
H (0.7579, 0.7579, 0.1878)  1 Ga 1.58
H (0.2421, 0.2421, 0.8122)  1 Ga 1.58